(1)
Zn3Cu3Ni: relaxed, GGA-PBE.

Geometry as CIF:
```
data_Zn3Cu3Ni
_cell_length_a 6.2194
_cell_length_b 6.2194
_cell_length_c 17.1052
_cell_angle_alpha 90.00
_cell_angle_beta 90.00
_cell_angle_gamma 120.00
_symmetry_space_group_name_H-M 'R -3'
_symmetry_Int_Tables_number 148
_symmetry_space_group_name_Hall '-R 3'
loop_
_atom_site_label
_atom_site_type_symbol
_atom_site_fract_x
_atom_site_fract_y
_atom_site_fract_z
Zn1 Zn 0.0353 0.2759 0.0587
Cu1 Cu 0.0408 0.2650 0.2061
Ni1 Ni 0.0000 0.0000 0.3291
```

Output
The calculation puts the formation energy at 1.4 kcal/mol of atoms.

(2)
Mn3NiPb: relaxed, GGA-PBE.

Geometry as CIF:
```
data_Mn3NiPb
_cell_length_a 5.0798
_cell_length_b 5.0798
_cell_length_c 5.0798
_cell_angle_alpha 90.00
_cell_angle_beta 90.00
_cell_angle_gamma 90.00
_symmetry_space_group_name_H-M 'P m -3 m'
_symmetry_Int_Tables_number 221
_symmetry_space_group_name_Hall '-P 4 2 3'
loop_
_atom_site_label
_atom_site_type_symbol
_atom_site_fract_x
_atom_site_fract_y
_atom_site_fract_z
Mn1 Mn 0.0000 0.0000 0.5000
Ni1 Ni 0.5000 0.5000 0.5000
Pb1 Pb 0.0000 0.0000 0.0000
```

Output
The calculation puts the formation energy at 38.5 kcal/mol of atoms.

(3)
Pu2NiAg: relaxed, GGA-PBE.

Geometry as CIF:
```
data_Pu2NiAg
_cell_length_a 3.1929
_cell_length_b 3.1929
_cell_length_c 8.2725
_cell_angle_alpha 90.00
_cell_angle_beta 90.00
_cell_angle_gamma 90.00
_symmetry_space_group_name_H-M 'P 4/m m m'
_symmetry_Int_Tables_number 123
_symmetry_space_group_name_Hall '-P 4 2'
loop_
_atom_site_label
_atom_site_type_symbol
_atom_site_fract_x
_atom_site_fract_y
_atom_site_fract_z
Pu1 Pu 0.0000 0.0000 0.2152
Ni1 Ni 0.5000 0.5000 0.0000
Ag1 Ag 0.5000 0.5000 0.5000
```

Output
The calculation puts the formation energy at 0.1 kcal/mol of atoms.

(4)
Ba2LiSi: relaxed, GGA-PBE.

Geometry as CIF:
```
data_Ba2LiSi
_cell_length_a 4.4237
_cell_length_b 5.4872
_cell_length_c 10.8236
_cell_angle_alpha 90.00
_cell_angle_beta 90.00
_cell_angle_gamma 90.00
_symmetry_space_group_name_H-M 'I m m 2'
_symmetry_Int_Tables_number 44
loop_
_symmetry_equiv_pos_as_xyz
'x,y,z'
'-x,-y,z'
'-x,y,z'
'x,-y,z'
'x+1/2,y+1/2,z+1/2'
'-x+1/2,-y+1/2,z+1/2'
'-x+1/2,y+1/2,z+1/2'
'x+1/2,-y+1/2,z+1/2'
loop_
_atom_site_label
_atom_site_type_symbol
_atom_site_fract_x
_atom_site_fract_y
_atom_site_fract_z
Ba1 Ba 0.0000 0.0000 0.0000
Ba2 Ba 0.0000 0.5000 0.1995
Li1 Li 0.0000 0.0000 0.3819
Si1 Si 0.0000 0.5000 0.7587
```

Output
The calculation puts the uncorrected formation energy at -0.388 eV per formula unit.

(5)
SrTlN2F: relaxed, GGA-PBE.

Geometry as CIF:
```
data_SrTlN2F
_cell_length_a 4.9885
_cell_length_b 4.9885
_cell_length_c 4.3357
_cell_angle_alpha 90.00
_cell_angle_beta 90.00
_cell_angle_gamma 90.00
_symmetry_space_group_name_H-M 'P 4/m m m'
_symmetry_Int_Tables_number 123
_symmetry_space_group_name_Hall '-P 4 2'
loop_
_atom_site_label
_atom_site_type_symbol
_atom_site_fract_x
_atom_site_fract_y
_atom_site_fract_z
Sr1 Sr 0.0000 0.0000 0.0000
Tl1 Tl 0.5000 0.5000 0.0000
N1 N 0.0000 0.5000 0.5000
F1 F 0.5000 0.5000 0.5000
```

Output
The calculation puts the uncorrected formation energy at 4.749 eV per formula unit.

(6)
TaZnIN2: relaxed, GGA-PBE.

Geometry as CIF:
```
data_TaZnIN2
_cell_length_a 4.0475
_cell_length_b 4.0475
_cell_length_c 5.9002
_cell_angle_alpha 90.00
_cell_angle_beta 90.00
_cell_angle_gamma 90.00
_symmetry_space_group_name_H-M 'P 4/m m m'
_symmetry_Int_Tables_number 123
_symmetry_space_group_name_Hall '-P 4 2'
loop_
_atom_site_label
_atom_site_type_symbol
_atom_site_fract_x
_atom_site_fract_y
_atom_site_fract_z
Ta1 Ta 0.0000 0.0000 0.0000
Zn1 Zn 0.5000 0.5000 0.5000
I1 I 0.0000 0.0000 0.5000
N1 N 0.0000 0.5000 0.0000
```

Output
The calculation puts the uncorrected formation energy at 1.732 eV per formula unit.

(7)
Cu2IN: relaxed, GGA-PBE.

Geometry as CIF:
```
data_Cu2IN
_cell_length_a 6.2322
_cell_length_b 6.2322
_cell_length_c 6.2322
_cell_angle_alpha 90.00
_cell_angle_beta 90.00
_cell_angle_gamma 90.00
_symmetry_space_group_name_H-M 'F m -3 m'
_symmetry_Int_Tables_number 225
_symmetry_space_group_name_Hall '-F 4 2 3'
loop_
_atom_site_label
_atom_site_type_symbol
_atom_site_fract_x
_atom_site_fract_y
_atom_site_fract_z
Cu1 Cu 0.2500 0.2500 0.2500
I1 I 0.0000 0.0000 0.0000
N1 N 0.0000 0.0000 0.5000
```

Output
The calculation puts the uncorrected formation energy at 5.781 eV per formula unit.

(8)
BaCeOs2O8: relaxed, GGA-PBE.

Geometry as CIF:
```
data_BaCeOs2O8
_cell_length_a 5.9455
_cell_length_b 5.9455
_cell_length_c 7.6961
_cell_angle_alpha 90.00
_cell_angle_beta 90.00
_cell_angle_gamma 120.00
_symmetry_space_group_name_H-M 'P -3'
_symmetry_Int_Tables_number 147
loop_
_symmetry_equiv_pos_as_xyz
'x,y,z'
'-x,-y,-z'
'-y,x-y,z'
'y,-x+y,-z'
'-x+y,-x,z'
'x-y,x,-z'
loop_
_atom_site_label
_atom_site_type_symbol
_atom_site_fract_x
_atom_site_fract_y
_atom_site_fract_z
Ba1 Ba 0.0000 0.0000 0.0000
Ce1 Ce 0.0000 0.0000 0.5000
Os1 Os 0.3333 0.6667 0.7855
O1 O 0.1633 0.3306 0.6995
O2 O 0.3333 0.6667 0.0190
```

Output
The calculation puts the uncorrected formation energy at -20.035 eV per formula unit.

(9)
TmNpTc4: relaxed, GGA-PBE.

Geometry as CIF:
```
data_TmNpTc4
_cell_length_a 7.5904
_cell_length_b 7.5904
_cell_length_c 7.5904
_cell_angle_alpha 90.00
_cell_angle_beta 90.00
_cell_angle_gamma 90.00
_symmetry_space_group_name_H-M 'F -4 3 m'
_symmetry_Int_Tables_number 216
_symmetry_space_group_name_Hall 'F -4 2 3'
loop_
_atom_site_label
_atom_site_type_symbol
_atom_site_fract_x
_atom_site_fract_y
_atom_site_fract_z
Tm1 Tm 0.0000 0.0000 0.0000
Np1 Np 0.2500 0.2500 0.2500
Tc1 Tc 0.1252 0.1252 0.6252
```

Output
The calculation puts the formation energy at 0.8 kcal/mol of atoms.

(10)
MgCSe2: relaxed, GGA-PBE.

Geometry as CIF:
```
data_MgCSe2
_cell_length_a 3.1872
_cell_length_b 3.1872
_cell_length_c 25.3405
_cell_angle_alpha 90.00
_cell_angle_beta 90.00
_cell_angle_gamma 120.00
_symmetry_space_group_name_H-M 'R -3 m'
_symmetry_Int_Tables_number 166
_symmetry_space_group_name_Hall '-R 3 2"'
loop_
_atom_site_label
_atom_site_type_symbol
_atom_site_fract_x
_atom_site_fract_y
_atom_site_fract_z
Mg1 Mg 0.0000 0.0000 0.0000
C1 C 0.0000 0.0000 0.5000
Se1 Se 0.0000 0.0000 0.1124
```

Output
The calculation puts the uncorrected formation energy at 4.217 eV per formula unit.

(11)
TeIO2F: relaxed, GGA-PBE.

Geometry as CIF:
```
data_TeIO2F
_cell_length_a 3.9600
_cell_length_b 3.9600
_cell_length_c 6.3314
_cell_angle_alpha 90.00
_cell_angle_beta 90.00
_cell_angle_gamma 90.00
_symmetry_space_group_name_H-M 'P 4/m m m'
_symmetry_Int_Tables_number 123
_symmetry_space_group_name_Hall '-P 4 2'
loop_
_atom_site_label
_atom_site_type_symbol
_atom_site_fract_x
_atom_site_fract_y
_atom_site_fract_z
Te1 Te 0.0000 0.0000 0.0000
I1 I 0.0000 0.0000 0.5000
O1 O 0.0000 0.5000 0.0000
F1 F 0.5000 0.5000 0.5000
```

Output
The calculation puts the uncorrected formation energy at -2.052 eV per formula unit.

(12)
Cd2CuAuO4: relaxed, GGA-PBE.

Geometry as CIF:
```
data_Cd2CuAuO4
_cell_length_a 5.6671
_cell_length_b 5.6671
_cell_length_c 6.9427
_cell_angle_alpha 90.00
_cell_angle_beta 90.00
_cell_angle_gamma 90.00
_symmetry_space_group_name_H-M 'I -4'
_symmetry_Int_Tables_number 82
loop_
_symmetry_equiv_pos_as_xyz
'x,y,z'
'y,-x,-z'
'-x,-y,z'
'-y,x,-z'
'x+1/2,y+1/2,z+1/2'
'y+1/2,-x+1/2,-z+1/2'
'-x+1/2,-y+1/2,z+1/2'
'-y+1/2,x+1/2,-z+1/2'
loop_
_atom_site_label
_atom_site_type_symbol
_atom_site_fract_x
_atom_site_fract_y
_atom_site_fract_z
Cd1 Cd 0.0000 0.0000 0.0000
Cd2 Cd 0.0000 0.5000 0.2500
Cu1 Cu 0.0000 0.0000 0.5000
Au1 Au 0.0000 0.5000 0.7500
O1 O 0.2273 0.7699 0.3924
```

Output
The calculation puts the uncorrected formation energy at -3.136 eV per formula unit.

(13)
Zr2FeCl: relaxed, GGA-PBE.

Geometry as CIF:
```
data_Zr2FeCl
_cell_length_a 3.6028
_cell_length_b 3.6028
_cell_length_c 21.3087
_cell_angle_alpha 90.00
_cell_angle_beta 90.00
_cell_angle_gamma 120.00
_symmetry_space_group_name_H-M 'R -3 m'
_symmetry_Int_Tables_number 166
_symmetry_space_group_name_Hall '-R 3 2"'
loop_
_atom_site_label
_atom_site_type_symbol
_atom_site_fract_x
_atom_site_fract_y
_atom_site_fract_z
Zr1 Zr 0.0000 0.0000 0.2315
Fe1 Fe 0.0000 0.0000 0.5000
Cl1 Cl 0.0000 0.0000 0.0000
```

Output
The calculation puts the uncorrected formation energy at -1.756 eV per formula unit.

(14)
Pm3Er2Zn2: relaxed, GGA-PBE.

Geometry as CIF:
```
data_Pm3Er2Zn2
_cell_length_a 3.6338
_cell_length_b 3.6338
_cell_length_c 29.5006
_cell_angle_alpha 90.00
_cell_angle_beta 90.00
_cell_angle_gamma 90.00
_symmetry_space_group_name_H-M 'I 4/m m m'
_symmetry_Int_Tables_number 139
_symmetry_space_group_name_Hall '-I 4 2'
loop_
_atom_site_label
_atom_site_type_symbol
_atom_site_fract_x
_atom_site_fract_y
_atom_site_fract_z
Pm1 Pm 0.0000 0.0000 0.0000
Pm2 Pm 0.0000 0.0000 0.1233
Er1 Er 0.0000 0.0000 0.2897
Zn1 Zn 0.0000 0.0000 0.4379
```

Output
The calculation puts the formation energy at -3.9 kcal/mol of atoms.

In the order shown, the computed theoretical density values come out to 7747, 5456, 12888, 3915, 5218, 6893, 7354, 5539, 12120, 4340, 5110, 8182, 5693, 7676 kg/m³.
In the order shown, the computed calculated total energy values come out to -3.07, -5.73, -9.32, -2.89, -3.56, -5.92, -3.07, -7.50, -9.78, -3.39, -3.71, -4.02, -7.29, -3.87 eV per atom.